[1]
A relaxed SrCa2PbO crystal. Source: Alexandria, functional PBE.

Computed properties:
- Raw total energy: -4.371 eV/atom
- Formation energy from raw total energies: -724 kJ/mol of formula units
- V: 24.98 Å³/atom

Lattice parameters (Å, degrees): 4.9427 4.9427 5.1119 90.00 90.00 90.00
Space group P4/mmm (No. 123)
Asymmetric unit:
1 Sr 0.0000 0.0000 0.0000 x1
2 Ca 0.0000 0.5000 0.5000 x2
3 Pb 0.5000 0.5000 0.0000 x1
4 O 0.0000 0.0000 0.5000 x1

[2]
A relaxed Ac4NiBr2N crystal. Source: Alexandria, functional PBE.

Computed properties:
- Raw total energy: -5.228 eV/atom
- Formation energy from raw total energies: -766 kJ/mol of formula units
- V: 29.63 Å³/atom

Lattice parameters (Å, degrees): 7.2661 4.0190 8.5184 90.00 107.68 90.00
Space group P2/m (No. 10)
Asymmetric unit:
1 Ac 0.2060 0.0000 0.1890 x2
2 Ac 0.2551 0.5000 0.8101 x2
3 Ni 0.5000 0.0000 0.0000 x1
4 Br 0.0000 0.0000 0.5000 x1
5 Br 0.5000 0.5000 0.5000 x1
6 N 0.0000 0.5000 0.0000 x1

[3]
A relaxed KPrPd10 crystal. Source: Alexandria, functional PBE.

Computed properties:
- Raw total energy: -5.057 eV/atom
- Formation enthalpy at 0 K: -0.239 eV per atom
- V: 18.98 Å³/atom

Lattice parameters (Å, degrees): 4.4503 5.4564 9.3820 90.00 90.00 90.00
Space group Pmmm (No. 47)
Asymmetric unit:
1 K 0.0000 0.0000 0.0000 x1
2 Pr 0.0000 0.5000 0.5000 x1
3 Pd 0.0000 0.0000 0.3388 x2
4 Pd 0.0000 0.5000 0.1733 x2
5 Pd 0.5000 0.0000 0.5000 x1
6 Pd 0.5000 0.2533 0.2561 x4
7 Pd 0.5000 0.5000 0.0000 x1

[4]
A relaxed AlHAu crystal. Source: Alexandria, functional PBE.

Computed properties:
- Raw total energy: -3.350 eV/atom
- V: 14.63 Å³/atom

Lattice parameters (Å, degrees): 3.7664 3.7664 6.1896 90.00 90.00 90.00
Space group I4mm (No. 107)
Asymmetric unit:
1 Al 0.0000 0.0000 0.0000 x2
2 H 0.0000 0.0000 0.7045 x2
3 Au 0.0000 0.0000 0.4199 x2